# 1
The following is a PBE calculation of an optimized crystal structure of TcRuIBr2, from the Alexandria database.

The structure belongs to space group P4/mmm (No. 123); the cell edges are 4.9606, 4.9606 and 4.9676 Å and the angles 90.00°, 90.00° and 90.00°. Symmetry generates all atoms from Tc at (0.0000, 0.0000, 0.0000), Ru at (0.0000, 0.0000, 0.5000), I at (0.5000, 0.5000, 0.5000) and Br at (0.0000, 0.5000, 0.0000).

The calculation puts the raw formation energy at 853 meV per atom.

***

# 2
The following is a PBE calculation of an optimized crystal structure of EuThInAu, from the Alexandria database.

The structure belongs to space group F-43m (No. 216); the cell edges are 7.6375, 7.6375 and 7.6375 Å and the angles 90.00°, 90.00° and 90.00°. Symmetry generates all atoms from Eu at (0.0000, 0.0000, 0.0000), Th at (0.0000, 0.0000, 0.5000), In at (0.2500, 0.2500, 0.2500) and Au at (0.2500, 0.2500, 0.7500).

The calculation puts the formation energy from the elements at -0.424 eV per atom.

***

# 3
The following is a PBE calculation of an optimized crystal structure of IrRh2SN, from the Alexandria database.

The structure belongs to space group P4/mmm (No. 123); the cell edges are 4.9308, 4.9308 and 3.6074 Å and the angles 90.00°, 90.00° and 90.00°. Symmetry generates all atoms from Ir at (0.0000, 0.0000, 0.0000), Rh at (0.0000, 0.5000, 0.0000), S at (0.5000, 0.5000, 0.5000) and N at (0.0000, 0.0000, 0.5000).

The calculation puts the raw formation energy at 1119 meV per atom.

***

# 4
The following is a PBE calculation of an optimized crystal structure of Sb2Br3Cl5, from the Alexandria database.

The structure belongs to space group Ibam (No. 72); the cell edges are 11.2922, 18.5815 and 8.9130 Å and the angles 90.00°, 90.00° and 90.00°. Symmetry generates all atoms from Sb at (0.1655, 0.0741, 0.0000), Br at (0.0000, 0.0000, 0.2500), Br at (0.1669, 0.3363, 0.5000), Cl at (0.0000, 0.5000, 0.2500), Cl at (0.0182, 0.1660, 0.0000) and Cl at (0.2033, 0.5000, 0.2500).

The calculation puts the raw formation energy at -476 meV per atom.